[1]
A plane-wave DFT calculation with PBE-GGA was carried out for PmGdSb after structural relaxation.

abc: 5.157 5.157 5.157
angles: 60.00 60.00 60.00
Sites, in units of the cell vectors:
Sb (0.000, 0.000, 0.000)
Pm (0.750, 0.750, 0.750)
Gd (0.250, 0.250, 0.250)

Values from the calculation:
Calculated total energy = -5.120 eV per atom
Volume = 97.0 Å³/cell
Calculated density = 7.3 g/cm3
Space-group type = F-43m, No. 216
Magnetization = 0.04 μB/f.u.

---

[2]
A plane-wave DFT calculation with PBE-GGA was carried out for LiScSbIr after structural relaxation.

abc: 4.578 4.578 4.578
angles: 60.00 60.00 60.00
Sites, in units of the cell vectors:
Ir (0.500, 0.500, 0.500)
Sc (0.000, 0.000, 0.000)
Sb (0.250, 0.250, 0.250)
Li (0.750, 0.750, 0.750)

Values from the calculation:
Calculated total energy = -5.798 eV per atom
Volume = 67.8 Å³/cell
Calculated density = 9.0 g/cm3
Space-group type = F-43m, No. 216
Magnetization = 0.00 μB/f.u.